Entry 1:
Below is a crystal of Ga2SnBi relaxed with PBEsol, with properties calculated at the meta-GGA SCAN level.

Values from the calculation:
As for the symmetry: I-42d (122). As for the polymorph energy (0 for the lowest one): 0.00 eV/f.u.

Lattice parameters (Å, degrees): 7.6041 7.6041 7.6041 131.65 131.65 70.78
Sites, in units of the cell vectors:
Ga 0.1111 0.6250 0.9861
Ga 0.3750 0.3611 0.4861
Ga 0.6389 0.1250 0.0139
Ga 0.8750 0.8889 0.5139
Sn 0.0000 0.0000 0.0000
Sn 0.7500 0.2500 0.5000
Bi 0.2500 0.7500 0.5000
Bi 0.5000 0.5000 0.0000


Entry 2:
Below is a crystal of GaSnBi2W relaxed with PBEsol, with properties calculated at the meta-GGA SCAN level.

Values from the calculation:
For the total energy, the calculation gives -2.02348 Ha/atom. As for the symmetry: P4/mmm (123).

Lattice parameters (Å, degrees): 5.3679 5.3679 4.9293 90.00 90.00 90.00
Sites, in units of the cell vectors:
Ga 0.0000 0.0000 0.0000
Sn 0.5000 0.5000 0.0000
Bi 0.0000 0.5000 0.5000
Bi 0.5000 0.0000 0.5000
W 0.0000 0.0000 0.5000


Entry 3:
Below is a crystal of SrGa3Bi relaxed with PBEsol, with properties calculated at the meta-GGA SCAN level.

Values from the calculation:
For the total energy, the calculation gives -1.08980 Ha/atom. As for the symmetry: Pm-3m (221).

Lattice parameters (Å, degrees): 5.5200 5.5200 5.5200 90.00 90.00 90.00
Sites, in units of the cell vectors:
Sr 0.0000 0.0000 0.0000
Ga 0.0000 0.5000 0.5000
Ga 0.5000 0.0000 0.5000
Ga 0.5000 0.5000 0.0000
Bi 0.5000 0.5000 0.5000


Entry 4:
Below is a crystal of GaTc3Bi relaxed with PBEsol, with properties calculated at the meta-GGA SCAN level.

Values from the calculation:
For the total energy, the calculation gives -1.38320 Ha/atom. As for the symmetry: Pm-3m (221).

Lattice parameters (Å, degrees): 4.9062 4.9062 4.9062 90.00 90.00 90.00
Sites, in units of the cell vectors:
Ga 0.0000 0.0000 0.0000
Tc 0.0000 0.5000 0.5000
Tc 0.5000 0.0000 0.5000
Tc 0.5000 0.5000 0.0000
Bi 0.5000 0.5000 0.5000